A plane-wave DFT calculation with PBE+U was carried out for a relaxed PaCoIO6 crystal.

Cell and atoms, written as POSCAR:
```
PaCoIO6
1.0
5.6527 0.0000 0.0000
-2.8263 4.8954 0.0000
0.0000 0.0000 8.8977
O Co Pa I
12 2 2 2
Direct
0.3413 0.0085 0.1287
0.0085 0.3413 0.6287
0.9915 0.3328 0.1287
0.6587 0.6672 0.6287
0.6672 0.0085 0.3713
0.3413 0.3328 0.3713
0.9915 0.6587 0.3713
0.3328 0.9915 0.6287
0.6587 0.9915 0.8713
0.0085 0.6672 0.8713
0.6672 0.6587 0.1287
0.3328 0.3413 0.8713
0.0000 0.0000 0.5000
0.0000 0.0000 0.0000
0.3333 0.6667 0.2500
0.6667 0.3333 0.7500
0.6667 0.3333 0.2500
0.3333 0.6667 0.7500
```

Values from the calculation:
Total energy (eV/atom): -6.63